DFT (PBE+U) results for a relaxed RbMnRe2O8 crystal.

The structure in CIF format:
```
data_RbMnRe2O8
_chemical_formula_sum 'Rb1 Mn1 Re2 O8'
_cell_length_a 5.9010
_cell_length_b 5.9010
_cell_length_c 7.7884
_cell_angle_alpha 90.00
_cell_angle_beta 90.00
_cell_angle_gamma 120.00
_space_group_name_H-M_alt 'P -3'
_space_group_IT_number 147
_space_group_name_Hall '-P 3'
loop_
_atom_site_label
_atom_site_type_symbol
_atom_site_fract_x
_atom_site_fract_y
_atom_site_fract_z
Rb1 Rb 0.0000 0.0000 0.0000
Mn1 Mn 0.0000 0.0000 0.5000
Re1 Re 0.3333 0.6667 0.7403
O1 O 0.1661 0.3363 0.6672
O2 O 0.3333 0.6667 0.9663
```

Summary:
N(E_F), states/eV/f.u.: 5.828
Energy, eV per cell: -93.474